NdDyAl4Ni2, optimized geometry, DFT GGA-PBE; volume = 18.4 A^3/atom; DFT total energy = -5.044 eV/atom
1.0
6.911 0.000 0.000
0.000 2.033 5.245
0.000 -2.033 5.245
Nd Dy Al Ni
1 1 4 2
Direct
0.000 0.000 0.000
0.500 0.885 0.885
0.197 0.281 0.281
0.308 0.606 0.606
0.692 0.606 0.606
0.803 0.281 0.281
0.000 0.724 0.724
0.500 0.159 0.159



Nd2DyAl3Ni3, optimized geometry, DFT GGA-PBE; volume = 19.1 A^3/atom; DFT total energy = -5.220 eV/atom
1.0
4.053 0.000 0.000
0.000 6.102 3.481
0.000 -6.102 3.481
Nd Dy Al Ni
2 1 3 3
Direct
0.000 0.209 0.791
0.000 0.791 0.209
0.000 0.626 0.626
0.500 0.216 0.442
0.500 0.442 0.216
0.500 0.978 0.978
0.000 0.216 0.216
0.500 0.547 0.868
0.500 0.868 0.547



> Which formula does entry 2 have?

Nd2DyAl3Ni3



> volume of number 1 (NdDyAl4Ni2)?

18.4 A^3/atom



> Among the records above, which one has the lowest volume?

NdDyAl4Ni2